CrO2: optimized geometry, GGA+U.

POSCAR file:
```
CrO2
1.0
3.009 0.000 0.000
0.000 8.694 0.000
0.000 0.000 10.377
Cr O
8 16
Cartesian
2.257 8.053 6.326
0.752 4.987 1.137
2.257 3.707 9.240
0.752 0.640 4.051
0.752 0.598 9.223
2.257 8.096 1.154
0.752 4.945 6.343
2.257 3.749 4.034
2.257 3.731 5.926
0.752 4.963 4.451
2.257 8.078 9.640
0.752 0.616 0.737
2.257 4.475 2.280
0.752 4.219 8.097
2.257 0.128 2.908
0.752 8.566 7.469
2.257 0.952 5.302
0.752 7.742 5.075
2.257 5.299 10.264
0.752 3.395 0.113
0.752 2.514 3.734
2.257 6.180 6.643
2.257 1.833 8.923
0.752 6.861 1.454
```

- Calculated density: 4.1 g cm⁻³
- E_tot: -7.351 eV per atom